a.
VPtF3 | PBE with a Hubbard U | optimized geometry

Output
Magnetic moment: 1.81 μB per cell
Crystal system: cubic

Cell: 4.101 4.101 4.101 Å, 90.00 90.00 90.00°
Space group Pm-3m (No. 221)
Unique sites:
V 0.000 0.000 0.000
Pt 0.500 0.500 0.500
F 0.000 0.000 0.500


b.
VPtF3 | PBE with a Hubbard U | optimized geometry

Output
Magnetic moment: 3.52 μB per cell
Crystal system: cubic

Cell: 4.355 4.355 4.355 Å, 90.00 90.00 90.00°
Space group Pm-3m (No. 221)
Unique sites:
V 0.000 0.000 0.000
Pt 0.500 0.500 0.500
F 0.000 0.500 0.500


Going by the computed energies, the most stable comes first: a, b.